A geometry-optimized LaBIr2Rh structure. Source: Alexandria via LeMat-Bulk, functional PBE.

a = 4.2764 Å, b = 4.2764 Å, c = 4.3660 Å
α = 90.00°, β = 90.00°, γ = 90.00°
Last column: nearest neighbours and their distance in Å.
Positions (direct):
La 0.0000 0.0000 0.0000  4 Rh 3.02, 8 Ir 3.06
B 0.5000 0.5000 0.5000  4 Ir 2.14, 2 Rh 2.18
Ir 0.0000 0.5000 0.5000  2 B 2.14
Ir 0.5000 0.0000 0.5000  2 B 2.14
Rh 0.5000 0.5000 0.0000  2 B 2.18

## Properties
DFT total energy = -7.910 eV per atom
ρ = 13.25 g/cm³
volume = 15.97 Å³ per atom
DOS at the Fermi energy = 4.3 states/eV/cell